No. 1
Density functional theory data (PBE) for a geometry-optimized Cs2Rb2H3 structure.

Calculated values
* SG: No. 12
* VASP energy: -2.05 eV/atom

POSCAR file:
```
Cs2Rb2H3
1.0
15.221 0.000 0.000
0.000 4.449 0.000
-1.665 0.000 7.656
Cs Rb H
4 4 6
direct
0.125 0.000 0.379
0.375 0.500 0.621
0.625 0.500 0.379
0.875 0.000 0.621
0.138 0.500 0.861
0.362 0.000 0.139
0.638 0.000 0.861
0.862 0.500 0.139
0.000 0.500 0.500
0.245 0.000 0.759
0.255 0.500 0.241
0.500 0.000 0.500
0.745 0.500 0.759
0.755 0.000 0.241
```

=====

No. 2
Density functional theory data (PBE) for a geometry-optimized Ca2AgAu3 structure.

Calculated values
* SG: No. 62
* energy of formation from the pure elements: -0.627 eV/atom
* VASP energy: -3.41 eV/atom
* energy above the lowest structure with this stoichiometry: 0.00 eV per formula unit

POSCAR file:
```
Ca2AgAu3
1.0
7.599 0.000 0.000
0.000 4.082 0.000
0.000 0.000 17.681
Ca Ag Au
8 4 12
direct
0.077 0.250 0.213
0.163 0.250 0.434
0.337 0.750 0.934
0.423 0.750 0.713
0.577 0.250 0.287
0.663 0.250 0.066
0.837 0.750 0.566
0.923 0.750 0.787
0.002 0.750 0.060
0.498 0.250 0.560
0.502 0.750 0.440
0.998 0.250 0.940
0.099 0.250 0.659
0.223 0.250 0.812
0.234 0.750 0.559
0.266 0.250 0.059
0.277 0.750 0.312
0.401 0.750 0.159
0.599 0.250 0.841
0.723 0.250 0.688
0.734 0.750 0.941
0.766 0.250 0.441
0.777 0.750 0.188
0.901 0.750 0.341
```